Record 1
Entry from Alexandria: a relaxed structure of Sm2DyHoMg (PBE).

Computed properties:
- mass density (Mg/m³) = 6.837
- E_form (kJ per mole of atoms) = 17

Geometry as CIF:
```
data_Sm2DyHoMg
_cell_length_a 5.890
_cell_length_b 7.521
_cell_length_c 7.154
_cell_angle_alpha 90.00
_cell_angle_beta 90.00
_cell_angle_gamma 90.00
_space_group_name_H-M_alt 'P m m a'
_space_group_IT_number 51
loop_
_space_group_symop_operation_xyz
'x,y,z'
'-x,-y,-z'
'-x+1/2,-y,z'
'x+1/2,y,-z'
'x+1/2,-y,-z'
'-x+1/2,y,z'
'-x,y,-z'
'x,-y,z'
loop_
_atom_site_label
_atom_site_fract_x
_atom_site_fract_y
_atom_site_fract_z
_atom_site_occupancy
Sm1 0.250 0.214 0.191 1
Dy1 0.250 0.000 0.654 1
Ho1 0.250 0.500 0.876 1
Mg1 0.000 0.500 0.500 1
```


Record 2
Entry from Alexandria: a relaxed structure of Sm2Dy2HoMg (PBE).

Computed properties:
- mass density (Mg/m³) = 6.171
- E_form (kJ per mole of atoms) = 44

Geometry as CIF:
```
data_Sm2Dy2HoMg
_cell_length_a 10.205
_cell_length_b 11.874
_cell_length_c 3.619
_cell_angle_alpha 90.00
_cell_angle_beta 90.00
_cell_angle_gamma 90.00
_space_group_name_H-M_alt 'P n n m'
_space_group_IT_number 58
loop_
_space_group_symop_operation_xyz
'x,y,z'
'-x,-y,-z'
'-x,-y,z'
'x,y,-z'
'x+1/2,-y+1/2,-z+1/2'
'-x+1/2,y+1/2,z+1/2'
'-x+1/2,y+1/2,-z+1/2'
'x+1/2,-y+1/2,z+1/2'
loop_
_atom_site_label
_atom_site_fract_x
_atom_site_fract_y
_atom_site_fract_z
_atom_site_occupancy
Sm1 0.102 0.222 0.000 1
Dy1 0.249 0.430 0.500 1
Ho1 0.000 0.000 0.500 1
Mg1 0.000 0.500 0.000 1
```


Record 3
Entry from Alexandria: a relaxed structure of SmDy2Ho2Mg5 (PBE).

Computed properties:
- mass density (Mg/m³) = 5.392
- E_form (kJ per mole of atoms) = 7

Geometry as CIF:
```
data_SmDy2Ho2Mg5
_cell_length_a 10.577
_cell_length_b 10.577
_cell_length_c 5.102
_cell_angle_alpha 90.00
_cell_angle_beta 90.00
_cell_angle_gamma 90.00
_space_group_name_H-M_alt 'P 4/m b m'
_space_group_IT_number 127
_space_group_name_Hall '-P 4 2ab'
loop_
_atom_site_label
_atom_site_fract_x
_atom_site_fract_y
_atom_site_fract_z
_atom_site_occupancy
Sm1 0.000 0.000 0.000 1
Dy1 0.178 0.322 0.000 1
Ho1 0.119 0.619 0.000 1
Mg1 0.000 0.500 0.500 1
Mg2 0.076 0.803 0.500 1
```


Record 4
Entry from Alexandria: a relaxed structure of Sm2Dy6HoMg (PBE).

Computed properties:
- mass density (Mg/m³) = 7.710
- E_form (kJ per mole of atoms) = 10

Geometry as CIF:
```
data_Sm2Dy6HoMg
_cell_length_a 9.893
_cell_length_b 19.571
_cell_length_c 6.604
_cell_angle_alpha 90.00
_cell_angle_beta 99.22
_cell_angle_gamma 90.00
_space_group_name_H-M_alt 'C 1 2/c 1'
_space_group_IT_number 15
loop_
_space_group_symop_operation_xyz
'x,y,z'
'-x,-y,-z'
'-x,y,-z+1/2'
'x,-y,z+1/2'
'x+1/2,y+1/2,z'
'-x+1/2,-y+1/2,-z'
'-x+1/2,y+1/2,-z+1/2'
'x+1/2,-y+1/2,z+1/2'
loop_
_atom_site_label
_atom_site_fract_x
_atom_site_fract_y
_atom_site_fract_z
_atom_site_occupancy
Sm1 0.234 0.082 0.498 1
Dy1 0.059 0.353 0.029 1
Dy2 0.117 0.086 0.983 1
Dy3 0.176 0.239 0.722 1
Ho1 0.000 0.493 0.750 1
Mg1 0.000 0.206 0.250 1
```


Record 5
Entry from Alexandria: a relaxed structure of Sm6Dy2HoMg (PBE).

Computed properties:
- mass density (Mg/m³) = 7.253
- E_form (kJ per mole of atoms) = 12

Geometry as CIF:
```
data_Sm6Dy2HoMg
_cell_length_a 9.215
_cell_length_b 15.010
_cell_length_c 9.444
_cell_angle_alpha 90.00
_cell_angle_beta 96.77
_cell_angle_gamma 90.00
_space_group_name_H-M_alt 'C 1 2/c 1'
_space_group_IT_number 15
loop_
_space_group_symop_operation_xyz
'x,y,z'
'-x,-y,-z'
'-x,y,-z+1/2'
'x,-y,z+1/2'
'x+1/2,y+1/2,z'
'-x+1/2,-y+1/2,-z'
'-x+1/2,y+1/2,-z+1/2'
'x+1/2,-y+1/2,z+1/2'
loop_
_atom_site_label
_atom_site_fract_x
_atom_site_fract_y
_atom_site_fract_z
_atom_site_occupancy
Sm1 0.053 0.180 0.448 1
Sm2 0.103 0.394 0.611 1
Sm3 0.216 0.218 0.806 1
Dy1 0.246 0.449 0.950 1
Ho1 0.000 0.023 0.750 1
Mg1 0.000 0.412 0.250 1
```


Record 6
Entry from Alexandria: a relaxed structure of Sm2DyHo2Mg (PBE).

Computed properties:
- mass density (Mg/m³) = 6.201
- E_form (kJ per mole of atoms) = 44

Geometry as CIF:
```
data_Sm2DyHo2Mg
_cell_length_a 10.198
_cell_length_b 11.872
_cell_length_c 3.616
_cell_angle_alpha 90.00
_cell_angle_beta 90.00
_cell_angle_gamma 90.00
_space_group_name_H-M_alt 'P n n m'
_space_group_IT_number 58
loop_
_space_group_symop_operation_xyz
'x,y,z'
'-x,-y,-z'
'-x,-y,z'
'x,y,-z'
'x+1/2,-y+1/2,-z+1/2'
'-x+1/2,y+1/2,z+1/2'
'-x+1/2,y+1/2,-z+1/2'
'x+1/2,-y+1/2,z+1/2'
loop_
_atom_site_label
_atom_site_fract_x
_atom_site_fract_y
_atom_site_fract_z
_atom_site_occupancy
Sm1 0.102 0.222 0.000 1
Dy1 0.000 0.000 0.500 1
Ho1 0.248 0.430 0.500 1
Mg1 0.000 0.500 0.000 1
```


Record 7
Entry from Alexandria: a relaxed structure of Sm2DyHo4Mg (PBE).

Computed properties:
- mass density (Mg/m³) = 7.711
- E_form (kJ per mole of atoms) = 3

Geometry as CIF:
```
data_Sm2DyHo4Mg
_cell_length_a 4.949
_cell_length_b 4.959
_cell_length_c 10.067
_cell_angle_alpha 90.00
_cell_angle_beta 90.00
_cell_angle_gamma 90.00
_space_group_name_H-M_alt 'P m m m'
_space_group_IT_number 47
loop_
_space_group_symop_operation_xyz
'x,y,z'
'-x,-y,-z'
'-x,-y,z'
'x,y,-z'
'x,-y,-z'
'-x,y,z'
'-x,y,-z'
'x,-y,z'
loop_
_atom_site_label
_atom_site_fract_x
_atom_site_fract_y
_atom_site_fract_z
_atom_site_occupancy
Sm1 0.000 0.000 0.000 1
Sm2 0.500 0.500 0.500 1
Dy1 0.000 0.000 0.500 1
Ho1 0.000 0.500 0.249 1
Ho2 0.500 0.000 0.249 1
Mg1 0.500 0.500 0.000 1
```


Record 8
Entry from Alexandria: a relaxed structure of Sm2Dy6Ho3Mg (PBE).

Computed properties:
- mass density (Mg/m³) = 8.005
- E_form (kJ per mole of atoms) = 2

Geometry as CIF:
```
data_Sm2Dy6Ho3Mg
_cell_length_a 6.106
_cell_length_b 10.586
_cell_length_c 11.700
_cell_angle_alpha 90.00
_cell_angle_beta 100.09
_cell_angle_gamma 90.00
_space_group_name_H-M_alt 'C 1 2/m 1'
_space_group_IT_number 12
loop_
_space_group_symop_operation_xyz
'x,y,z'
'-x,-y,-z'
'-x,y,-z'
'x,-y,z'
'x+1/2,y+1/2,z'
'-x+1/2,-y+1/2,-z'
'-x+1/2,y+1/2,-z'
'x+1/2,-y+1/2,z'
loop_
_atom_site_label
_atom_site_fract_x
_atom_site_fract_y
_atom_site_fract_z
_atom_site_occupancy
Sm1 0.000 0.166 0.000 1
Dy1 0.249 0.334 0.251 1
Dy2 0.249 0.500 0.748 1
Ho1 0.000 0.000 0.500 1
Ho2 0.000 0.334 0.500 1
Mg1 0.000 0.500 0.000 1
```


Record 9
Entry from Alexandria: a relaxed structure of DyHoMgSn (PBE).

Computed properties:
- mass density (Mg/m³) = 7.492
- E_form (kJ per mole of atoms) = -38

Geometry as CIF:
```
data_DyHoMgSn
_cell_length_a 7.471
_cell_length_b 7.471
_cell_length_c 7.471
_cell_angle_alpha 90.00
_cell_angle_beta 90.00
_cell_angle_gamma 90.00
_space_group_name_H-M_alt 'F -4 3 m'
_space_group_IT_number 216
_space_group_name_Hall 'F -4 2 3'
loop_
_atom_site_label
_atom_site_fract_x
_atom_site_fract_y
_atom_site_fract_z
_atom_site_occupancy
Dy1 0.000 0.000 0.000 1
Ho1 0.000 0.000 0.500 1
Mg1 0.250 0.250 0.250 1
Sn1 0.250 0.250 0.750 1
```


Record 10
Entry from Alexandria: a relaxed structure of Tb2Dy4HoMg (PBE).

Computed properties:
- mass density (Mg/m³) = 7.855
- E_form (kJ per mole of atoms) = 2

Geometry as CIF:
```
data_Tb2Dy4HoMg
_cell_length_a 4.946
_cell_length_b 4.957
_cell_length_c 9.976
_cell_angle_alpha 90.00
_cell_angle_beta 90.00
_cell_angle_gamma 90.00
_space_group_name_H-M_alt 'P m m m'
_space_group_IT_number 47
loop_
_space_group_symop_operation_xyz
'x,y,z'
'-x,-y,-z'
'-x,-y,z'
'x,y,-z'
'x,-y,-z'
'-x,y,z'
'-x,y,-z'
'x,-y,z'
loop_
_atom_site_label
_atom_site_fract_x
_atom_site_fract_y
_atom_site_fract_z
_atom_site_occupancy
Tb1 0.000 0.000 0.000 1
Tb2 0.500 0.500 0.500 1
Dy1 0.000 0.500 0.249 1
Dy2 0.500 0.000 0.249 1
Ho1 0.000 0.000 0.500 1
Mg1 0.500 0.500 0.000 1
```


Record 11
Entry from Alexandria: a relaxed structure of TbDy2Ho2Mg (PBE).

Computed properties:
- mass density (Mg/m³) = 6.456
- E_form (kJ per mole of atoms) = 47

Geometry as CIF:
```
data_TbDy2Ho2Mg
_cell_length_a 10.261
_cell_length_b 11.682
_cell_length_c 3.597
_cell_angle_alpha 90.00
_cell_angle_beta 90.00
_cell_angle_gamma 90.00
_space_group_name_H-M_alt 'P n n m'
_space_group_IT_number 58
loop_
_space_group_symop_operation_xyz
'x,y,z'
'-x,-y,-z'
'-x,-y,z'
'x,y,-z'
'x+1/2,-y+1/2,-z+1/2'
'-x+1/2,y+1/2,z+1/2'
'-x+1/2,y+1/2,-z+1/2'
'x+1/2,-y+1/2,z+1/2'
loop_
_atom_site_label
_atom_site_fract_x
_atom_site_fract_y
_atom_site_fract_z
_atom_site_occupancy
Tb1 0.000 0.000 0.000 1
Dy1 0.093 0.224 0.500 1
Ho1 0.249 0.429 0.000 1
Mg1 0.000 0.500 0.500 1
```


Record 12
Entry from Alexandria: a relaxed structure of TbDy2Ho2Mg2 (PBE).

Computed properties:
- mass density (Mg/m³) = 7.038
- E_form (kJ per mole of atoms) = -2

Geometry as CIF:
```
data_TbDy2Ho2Mg2
_cell_length_a 5.4278
_cell_length_b 5.4278
_cell_length_c 23.9243
_cell_angle_alpha 90.00
_cell_angle_beta 90.00
_cell_angle_gamma 120.00
_space_group_name_H-M_alt 'R -3 m'
_space_group_IT_number 166
_space_group_name_Hall '-R 3 2"'
loop_
_atom_site_label
_atom_site_fract_x
_atom_site_fract_y
_atom_site_fract_z
_atom_site_occupancy
Tb1 0.0000 0.0000 0.0000 1
Dy1 0.0000 0.0000 0.4271 1
Ho1 0.0000 0.0000 0.1548 1
Mg1 0.0000 0.0000 0.2891 1
```